A) Below is Na2Si2Au at its PBEsol-relaxed geometry, with properties calculated at the SCAN level.

```
10
Lattice="4.9009 0.0000 0.0000 0.0000 6.2945 0.0000 0.0000 0.0000 6.2945" Properties=species:S:1:pos:R:3 pbc="T T T"
Si 0.0000 5.4739 3.9679
Si 0.0000 0.8206 2.3266
Si 0.0000 2.3266 5.4739
Si 0.0000 3.9679 0.8206
Na 2.4505 5.1752 2.0279
Na 2.4505 1.1193 4.2666
Na 2.4505 4.2666 5.1752
Na 2.4505 2.0279 1.1193
Au 0.0000 0.0000 0.0000
Au 0.0000 3.1473 3.1473
```

B) Below is Na2Si2Au at its PBEsol-relaxed geometry, with properties calculated at the SCAN level.

```
5
Lattice="-0.7310 -1.5678 -3.4186 1.2117 -3.3950 1.2979 -6.2686 1.0701 2.9965" Properties=species:S:1:pos:R:3 pbc="T T T"
Au 0.0000 0.0000 0.0000
Na -3.3796 -1.4895 -0.7412
Na -2.4083 -2.4031 1.6170
Si -0.7770 -2.7196 -0.7336
Si -5.0109 -1.1731 1.6094
```

Least stable structure: B)

A) Below is Na2Zn2Au at its PBEsol-relaxed geometry, with properties calculated at the SCAN level.

```
5
Lattice="-2.3875 -2.7622 -1.1018 2.7141 -2.6014 0.6407 -2.3459 1.9942 6.6842" Properties=species:S:1:pos:R:3 pbc="T T T"
Na 0.2657 -1.6445 3.5472
Na -2.2851 -1.7249 2.6760
Zn -1.8055 -0.5688 5.3386
Zn -0.2138 -2.8006 0.8846
Au 0.0000 0.0000 0.0000
```

B) Below is Na2Zn2Au at its PBEsol-relaxed geometry, with properties calculated at the SCAN level.

```
10
Lattice="4.7950 0.0000 0.0000 0.0000 6.5902 0.0000 0.0000 0.0000 6.5902" Properties=species:S:1:pos:R:3 pbc="T T T"
Na 2.3975 4.4844 5.4009
Na 2.3975 2.1058 1.1893
Na 2.3975 1.1893 4.4844
Na 2.3975 5.4009 2.1058
Zn 0.0000 0.8868 2.4083
Zn 0.0000 2.4083 5.7035
Zn 0.0000 4.1819 0.8868
Zn 0.0000 5.7035 4.1819
Au 0.0000 3.2951 3.2951
Au 0.0000 0.0000 0.0000
```

Least stable structure: A)